(1)
Material: LaCe2Pt
Method: DFT, PBE-GGA
State: optimized geometry

Output
Energy of formation: -0.24 eV per atom
Magnetization: 2.12 μB/f.u.
Energy: -5.95 eV/atom
DOS at the Fermi energy: 11.1 states/eV/cell
V: 124.6 Å³/cell

a = 10.428 Å, b = 10.428 Å, c = 10.428 Å
α = 20.75°, β = 20.75°, γ = 20.75°
Fractional coordinates of all 4 atoms:
La: 0.000 0.000 0.000
Ce: 0.106 0.106 0.106
Ce: 0.894 0.894 0.894
Pt: 0.500 0.500 0.500

---

(2)
Material: LaCe3Pt3
Method: DFT, PBE-GGA
State: optimized geometry

Output
Energy of formation: -0.92 eV per atom
Magnetization: 2.71 μB/f.u.
Energy: -6.76 eV/atom
DOS at the Fermi energy: 73.4 states/eV/cell
V: 734.3 Å³/cell

a = 12.420 Å, b = 4.105 Å, c = 14.403 Å
α = 90.00°, β = 90.00°, γ = 90.00°
Fractional coordinates of all 28 atoms:
La: 0.013 0.250 0.187
La: 0.487 0.750 0.687
La: 0.513 0.250 0.313
La: 0.987 0.750 0.813
Ce: 0.050 0.250 0.601
Ce: 0.192 0.750 0.030
Ce: 0.245 0.750 0.308
Ce: 0.255 0.250 0.808
Ce: 0.308 0.250 0.530
Ce: 0.450 0.750 0.101
Ce: 0.550 0.250 0.899
Ce: 0.692 0.750 0.470
Ce: 0.745 0.750 0.192
Ce: 0.755 0.250 0.692
Ce: 0.808 0.250 0.970
Ce: 0.950 0.750 0.399
Pt: 0.064 0.250 0.944
Pt: 0.115 0.250 0.401
Pt: 0.210 0.750 0.670
Pt: 0.290 0.250 0.170
Pt: 0.385 0.750 0.901
Pt: 0.436 0.750 0.444
Pt: 0.564 0.250 0.556
Pt: 0.615 0.250 0.099
Pt: 0.710 0.750 0.830
Pt: 0.790 0.250 0.330
Pt: 0.885 0.750 0.599
Pt: 0.936 0.750 0.056

---

What did the first record say?
Material: LaCe2Pt
Method: DFT, PBE-GGA
State: optimized geometry

Output
Energy of formation: -0.24 eV per atom
Magnetization: 2.12 μB/f.u.
Energy: -5.95 eV/atom
DOS at the Fermi energy: 11.1 states/eV/cell
V: 124.6 Å³/cell

a = 10.428 Å, b = 10.428 Å, c = 10.428 Å
α = 20.75°, β = 20.75°, γ = 20.75°
Fractional coordinates of all 4 atoms:
La: 0.000 0.000 0.000
Ce: 0.106 0.106 0.106
Ce: 0.894 0.894 0.894
Pt: 0.500 0.500 0.500

---

Q: Among the records above, which one has the highest DOS at the Fermi energy?
A: LaCe3Pt3

---

Q: The lowest magnetization belongs to which entry?
A: LaCe2Pt

---

Q: Which value of DOS at the Fermi energy does entry 1 give?
A: 11.1 states/eV/cell